Li4Mn3O3F9 | PBE+U | optimized geometry

Values from the calculation:
final energy: -105.5 eV/f.u.
total magnetic moment: 0.526 μB per atom

CIF file:
```
data_Li4Mn3O3F9
_chemical_formula_sum 'Li4 Mn3 O3 F9'
_space_group_name_H-M_alt 'P 1'
_space_group_IT_number 1
_cell_length_a 5.598
_cell_length_b 5.888
_cell_length_c 6.291
_cell_angle_alpha 98.73
_cell_angle_beta 99.27
_cell_angle_gamma 96.73
loop_
_space_group_symop_operation_xyz
'x,y,z'
loop_
_atom_site_label
_atom_site_type_symbol
_atom_site_fract_x
_atom_site_fract_y
_atom_site_fract_z
Li1 Li 0.000 0.000 0.000
Li2 Li 0.181 0.279 0.576
Li3 Li 0.458 0.975 0.749
Li4 Li 0.701 0.465 0.797
Mn1 Mn 0.301 0.609 0.131
Mn2 Mn 0.657 0.230 0.277
Mn3 Mn 0.895 0.761 0.457
O1 O 0.200 0.711 0.384
O2 O 0.630 0.561 0.247
O3 O 0.875 0.014 0.321
F1 F 0.113 0.988 0.709
F2 F 0.213 0.301 0.158
F3 F 0.372 0.493 0.846
F4 F 0.398 0.911 0.088
F5 F 0.500 0.204 0.529
F6 F 0.675 0.786 0.658
F7 F 0.718 0.195 0.973
F8 F 0.916 0.454 0.558
F9 F 0.991 0.649 0.985
```